Entry 1:
# PBE-GGA KHoB, optimized geometry
# size of the total moment	0.007	μB/atom
# energy above the most stable polymorph in this dataset	0.0000	eV/atom
data_KHoB
_cell_length_a 6.674
_cell_length_b 6.674
_cell_length_c 6.674
_cell_angle_alpha 90.00
_cell_angle_beta 90.00
_cell_angle_gamma 90.00
_symmetry_space_group_name_H-M 'F -4 3 m'
_symmetry_Int_Tables_number 216
_symmetry_space_group_name_Hall 'F -4 2 3'
loop_
_atom_site_label
_atom_site_type_symbol
_atom_site_fract_x
_atom_site_fract_y
_atom_site_fract_z
K1 K 0.000 0.000 0.000
Ho1 Ho 0.000 0.000 0.500
B1 B 0.250 0.250 0.750

***

Entry 2:
# PBE-GGA Er4Tm3Ni2Te2, optimized geometry
# size of the total moment	0.000	μB/atom
# energy above the most stable polymorph in this dataset	0.0029	eV/atom
data_Er4Tm3Ni2Te2
_cell_length_a 3.820
_cell_length_b 15.447
_cell_length_c 9.466
_cell_angle_alpha 90.00
_cell_angle_beta 90.00
_cell_angle_gamma 90.00
_symmetry_space_group_name_H-M 'I m m 2'
_symmetry_Int_Tables_number 44
loop_
_symmetry_equiv_pos_as_xyz
'x,y,z'
'-x,-y,z'
'-x,y,z'
'x,-y,z'
'x+1/2,y+1/2,z+1/2'
'-x+1/2,-y+1/2,z+1/2'
'-x+1/2,y+1/2,z+1/2'
'x+1/2,-y+1/2,z+1/2'
loop_
_atom_site_label
_atom_site_type_symbol
_atom_site_fract_x
_atom_site_fract_y
_atom_site_fract_z
Er1 Er 0.000 0.146 0.000
Er2 Er 0.000 0.185 0.649
Tm1 Tm 0.000 0.367 0.853
Tm2 Tm 0.000 0.500 0.270
Ni1 Ni 0.000 0.262 0.342
Te1 Te 0.000 0.000 0.505
Te2 Te 0.000 0.500 0.607

***

Entry 3:
# PBE-GGA Nd2HoO3, optimized geometry
# uncorrected energy	-7.604	eV/atom
# size of the total moment	0.002	μB/atom
data_Nd2HoO3
_cell_length_a 3.4508
_cell_length_b 3.4508
_cell_length_c 8.7744
_cell_angle_alpha 90.00
_cell_angle_beta 90.00
_cell_angle_gamma 120.00
_symmetry_space_group_name_H-M 'P -3 m 1'
_symmetry_Int_Tables_number 164
_symmetry_space_group_name_Hall '-P 3 2"'
loop_
_atom_site_label
_atom_site_type_symbol
_atom_site_fract_x
_atom_site_fract_y
_atom_site_fract_z
Nd1 Nd 0.3333 0.6667 0.1707
Ho1 Ho 0.0000 0.0000 0.5000
O1 O 0.0000 0.0000 0.0000
O2 O 0.3333 0.6667 0.6362

***

Entry 4:
# PBE-GGA AlCdCuPt, optimized geometry
# size of the total moment	0.000	μB/atom
# energy above the most stable polymorph in this dataset	0.0000	eV/atom
data_AlCdCuPt
_cell_length_a 6.298
_cell_length_b 6.298
_cell_length_c 6.298
_cell_angle_alpha 90.00
_cell_angle_beta 90.00
_cell_angle_gamma 90.00
_symmetry_space_group_name_H-M 'F -4 3 m'
_symmetry_Int_Tables_number 216
_symmetry_space_group_name_Hall 'F -4 2 3'
loop_
_atom_site_label
_atom_site_type_symbol
_atom_site_fract_x
_atom_site_fract_y
_atom_site_fract_z
Al1 Al 0.000 0.000 0.000
Cd1 Cd 0.000 0.000 0.500
Cu1 Cu 0.250 0.250 0.250
Pt1 Pt 0.250 0.250 0.750

***

Entry 5:
# PBE-GGA Li4Ni2BiSb, optimized geometry
# uncorrected energy	-3.746	eV/atom
# size of the total moment	0.000	μB/atom
data_Li4Ni2BiSb
_cell_length_a 4.367
_cell_length_b 4.367
_cell_length_c 6.217
_cell_angle_alpha 90.00
_cell_angle_beta 90.00
_cell_angle_gamma 90.00
_symmetry_space_group_name_H-M 'P -4 m 2'
_symmetry_Int_Tables_number 115
loop_
_symmetry_equiv_pos_as_xyz
'x,y,z'
'y,-x,-z'
'-x,-y,z'
'-y,x,-z'
'-x,y,z'
'-y,-x,-z'
'x,-y,z'
'y,x,-z'
loop_
_atom_site_label
_atom_site_type_symbol
_atom_site_fract_x
_atom_site_fract_y
_atom_site_fract_z
Li1 Li 0.000 0.000 0.000
Li2 Li 0.000 0.500 0.240
Li3 Li 0.500 0.500 0.500
Ni1 Ni 0.000 0.500 0.766
Bi1 Bi 0.000 0.000 0.500
Sb1 Sb 0.500 0.500 0.000

***

Entry 6:
# PBE-GGA TbSi2AgIr, optimized geometry
# uncorrected energy	-6.046	eV/atom
# size of the total moment	0.001	μB/atom
data_TbSi2AgIr
_cell_length_a 4.156
_cell_length_b 4.156
_cell_length_c 10.133
_cell_angle_alpha 90.00
_cell_angle_beta 90.00
_cell_angle_gamma 90.00
_symmetry_space_group_name_H-M 'I -4 m 2'
_symmetry_Int_Tables_number 119
_symmetry_space_group_name_Hall 'I -4 -2'
loop_
_atom_site_label
_atom_site_type_symbol
_atom_site_fract_x
_atom_site_fract_y
_atom_site_fract_z
Tb1 Tb 0.000 0.000 0.000
Si1 Si 0.000 0.000 0.385
Ag1 Ag 0.000 0.500 0.750
Ir1 Ir 0.000 0.500 0.250

***

Entry 7:
# PBE-GGA BaBeAsIr, optimized geometry
# size of the total moment	0.004	μB/atom
# energy above the most stable polymorph in this dataset	0.3201	eV/atom
data_BaBeAsIr
_cell_length_a 6.972
_cell_length_b 6.972
_cell_length_c 6.972
_cell_angle_alpha 90.00
_cell_angle_beta 90.00
_cell_angle_gamma 90.00
_symmetry_space_group_name_H-M 'F -4 3 m'
_symmetry_Int_Tables_number 216
_symmetry_space_group_name_Hall 'F -4 2 3'
loop_
_atom_site_label
_atom_site_type_symbol
_atom_site_fract_x
_atom_site_fract_y
_atom_site_fract_z
Ba1 Ba 0.000 0.000 0.000
Be1 Be 0.000 0.000 0.500
As1 As 0.250 0.250 0.750
Ir1 Ir 0.250 0.250 0.250

***

Entry 8:
# PBE-GGA Cs2Hg3Se4, optimized geometry
# uncorrected energy	-2.447	eV/atom
data_Cs2Hg3Se4
_cell_length_a 6.572
_cell_length_b 12.179
_cell_length_c 14.829
_cell_angle_alpha 90.00
_cell_angle_beta 90.00
_cell_angle_gamma 90.00
_symmetry_space_group_name_H-M 'I b a m'
_symmetry_Int_Tables_number 72
_symmetry_space_group_name_Hall '-I 2 2c'
loop_
_atom_site_label
_atom_site_type_symbol
_atom_site_fract_x
_atom_site_fract_y
_atom_site_fract_z
Cs1 Cs 0.232 0.119 0.000
Hg1 Hg 0.000 0.169 0.250
Hg2 Hg 0.000 0.500 0.250
Se1 Se 0.218 0.366 0.138

***

Entry 9:
# PBE-GGA Ga4PtAu, optimized geometry
# uncorrected energy	-3.990	eV/atom
# size of the total moment	0.002	μB/atom
data_Ga4PtAu
_cell_length_a 4.310
_cell_length_b 4.310
_cell_length_c 6.121
_cell_angle_alpha 90.00
_cell_angle_beta 90.00
_cell_angle_gamma 90.00
_symmetry_space_group_name_H-M 'P 4/m m m'
_symmetry_Int_Tables_number 123
_symmetry_space_group_name_Hall '-P 4 2'
loop_
_atom_site_label
_atom_site_type_symbol
_atom_site_fract_x
_atom_site_fract_y
_atom_site_fract_z
Ga1 Ga 0.000 0.500 0.239
Pt1 Pt 0.000 0.000 0.000
Au1 Au 0.500 0.500 0.500

***

Entry 10:
# PBE-GGA NdPIrO, optimized geometry
# size of the total moment	0.000	μB/atom
# energy above the most stable polymorph in this dataset	0.0000	eV/atom
data_NdPIrO
_cell_length_a 3.999
_cell_length_b 3.999
_cell_length_c 8.411
_cell_angle_alpha 90.00
_cell_angle_beta 90.00
_cell_angle_gamma 90.00
_symmetry_space_group_name_H-M 'P 4/n m m'
_symmetry_Int_Tables_number 129
loop_
_symmetry_equiv_pos_as_xyz
'x,y,z'
'-x,-y,-z'
'-y+1/2,x,z'
'y+1/2,-x,-z'
'-x+1/2,-y+1/2,z'
'x+1/2,y+1/2,-z'
'y,-x+1/2,z'
'-y,x+1/2,-z'
'x+1/2,-y,-z'
'-x+1/2,y,z'
'-y,-x,-z'
'y,x,z'
'-x,y+1/2,-z'
'x,-y+1/2,z'
'y+1/2,x+1/2,-z'
'-y+1/2,-x+1/2,z'
loop_
_atom_site_label
_atom_site_type_symbol
_atom_site_fract_x
_atom_site_fract_y
_atom_site_fract_z
Nd1 Nd 0.250 0.250 0.142
P1 P 0.250 0.250 0.654
Ir1 Ir 0.250 0.750 0.500
O1 O 0.250 0.750 0.000

***

Entry 11:
# PBE-GGA CuGe5Os3, optimized geometry
# uncorrected energy	-6.181	eV/atom
# size of the total moment	0.028	μB/atom
data_CuGe5Os3
_cell_length_a 5.2061
_cell_length_b 5.2061
_cell_length_c 7.1628
_cell_angle_alpha 90.00
_cell_angle_beta 90.00
_cell_angle_gamma 120.00
_symmetry_space_group_name_H-M 'P 6/m m m'
_symmetry_Int_Tables_number 191
_symmetry_space_group_name_Hall '-P 6 2'
loop_
_atom_site_label
_atom_site_type_symbol
_atom_site_fract_x
_atom_site_fract_y
_atom_site_fract_z
Cu1 Cu 0.0000 0.0000 0.0000
Ge1 Ge 0.0000 0.0000 0.5000
Ge2 Ge 0.3333 0.6667 0.1928
Os1 Os 0.0000 0.5000 0.5000

***

Entry 12:
# PBE-GGA TbInHgTe3, optimized geometry
# size of the total moment	0.000	μB/atom
# energy above the most stable polymorph in this dataset	0.0705	eV/atom
data_TbInHgTe3
_cell_length_a 13.051
_cell_length_b 4.550
_cell_length_c 13.287
_cell_angle_alpha 90.00
_cell_angle_beta 90.00
_cell_angle_gamma 90.00
_symmetry_space_group_name_H-M 'P n m a'
_symmetry_Int_Tables_number 62
loop_
_symmetry_equiv_pos_as_xyz
'x,y,z'
'-x,-y,-z'
'-x+1/2,-y,z+1/2'
'x+1/2,y,-z+1/2'
'x+1/2,-y+1/2,-z+1/2'
'-x+1/2,y+1/2,z+1/2'
'-x,y+1/2,-z'
'x,-y+1/2,z'
loop_
_atom_site_label
_atom_site_type_symbol
_atom_site_fract_x
_atom_site_fract_y
_atom_site_fract_z
Tb1 Tb 0.034 0.250 0.181
In1 In 0.170 0.250 0.495
Hg1 Hg 0.245 0.750 0.305
Te1 Te 0.029 0.750 0.347
Te2 Te 0.083 0.250 0.935
Te3 Te 0.232 0.750 0.669

***

What did the first record say?
# PBE-GGA KHoB, optimized geometry
# size of the total moment	0.007	μB/atom
# energy above the most stable polymorph in this dataset	0.0000	eV/atom
data_KHoB
_cell_length_a 6.674
_cell_length_b 6.674
_cell_length_c 6.674
_cell_angle_alpha 90.00
_cell_angle_beta 90.00
_cell_angle_gamma 90.00
_symmetry_space_group_name_H-M 'F -4 3 m'
_symmetry_Int_Tables_number 216
_symmetry_space_group_name_Hall 'F -4 2 3'
loop_
_atom_site_label
_atom_site_type_symbol
_atom_site_fract_x
_atom_site_fract_y
_atom_site_fract_z
K1 K 0.000 0.000 0.000
Ho1 Ho 0.000 0.000 0.500
B1 B 0.250 0.250 0.750

***

Question: What is the formula in the sixth record?
Answer: TbSi2AgIr